# NaLiTa2

A geometry-optimized NaLiTa2 structure (PBE, Alexandria).

Output
DOS at the Fermi energy: 0.74 states/eV per atom
ΔE_f: 908 meV/atom
Density: 7.92 g cm⁻³

a = 3.779 Å, b = 3.779 Å, c = 22.999 Å
α = 90.00°, β = 90.00°, γ = 90.00°
Positions (direct):
Na 0.000 0.000 0.000
Na 0.000 0.500 0.250
Na 0.500 0.000 0.750
Na 0.500 0.500 0.500
Li 0.000 0.000 0.500
Li 0.000 0.500 0.750
Li 0.500 0.000 0.250
Li 0.500 0.500 0.000
Ta 0.246 0.750 0.625
Ta 0.250 0.246 0.375
Ta 0.250 0.254 0.875
Ta 0.254 0.750 0.125
Ta 0.746 0.250 0.125
Ta 0.750 0.746 0.875
Ta 0.750 0.754 0.375
Ta 0.754 0.250 0.625